DFT (GGA-PBE) results for a geometry-optimized PrSmAgAu structure.

a b c (Å): 7.4507 7.4507 7.4507
angles (deg): 90.00 90.00 90.00
Closest atoms and distances in Å follow each position.
Space group F-43m (No. 216)
One atom of each set of equivalent atoms:
Pr  0.0000  0.0000  0.0000 x4  4 Ag 3.23, 4 Au 3.23
Sm  0.0000  0.0000  0.5000 x4  4 Ag 3.23, 4 Au 3.23
Ag  0.2500  0.2500  0.2500 x4  4 Pr 3.23, 4 Sm 3.23
Au  0.2500  0.2500  0.7500 x4  4 Pr 3.23, 4 Sm 3.23

Results
ΔE_f = -0.5106 eV per atom
excess energy over the best structure of this formula in the dataset = 0.06 eV/f.u.
density = 9.57 g/cm³
total magnetic moment = 0.0 μB/f.u.
crystal system = cubic